Entry A
Material: AcSnS
Method: DFT, PBE
State: optimized geometry

## Properties
Symmetry = I4/mmm
DOS at the Fermi energy = 1.3 states/eV/f.u.

Cell: 10.1998 10.1998 10.1998 Å, 156.01 156.01 34.18°
Last column: nearest neighbours and their distance in Å.
Positions (direct):
Ac  0.1563  0.1563  0.0000  5 S 3.03-3.06
Ac  0.8437  0.8437  0.0000  5 S 3.03-3.06
Sn  0.0000  0.5000  0.5000  4 Sn 3.00
Sn  0.5000  0.0000  0.5000  4 Sn 3.00
S  0.3119  0.3119  0.0000  5 Ac 3.03-3.06
S  0.6881  0.6881  0.0000  5 Ac 3.03-3.06

Entry B
Material: AcSnS
Method: DFT, PBE
State: optimized geometry

## Properties
Symmetry = P4/nmm
DOS at the Fermi energy = 1.6 states/eV/f.u.

Cell: 4.1130 4.1130 10.3371 Å, 90.00 90.00 90.00°
Last column: nearest neighbours and their distance in Å.
Positions (direct):
Ac  0.2500  0.2500  0.1892  5 S 3.03-3.07
Ac  0.7500  0.7500  0.8108  5 S 3.03-3.07
Sn  0.2500  0.2500  0.5546  4 Sn 3.12, 1 S 3.49
Sn  0.7500  0.7500  0.4454  4 Sn 3.12, 1 S 3.49
S  0.2500  0.2500  0.8925  5 Ac 3.03-3.07
S  0.7500  0.7500  0.1075  5 Ac 3.03-3.07

Which of them is the most stable? Correct choice: entry A.

Entry A
Material: SrAcS2
Method: DFT, PBE
State: optimized geometry

## Properties
Symmetry = R-3m
DOS at the Fermi energy = 1.5 states/eV/f.u.

Cell: 7.5102 7.5102 7.5102 Å, 33.00 33.00 33.00°
Last column: nearest neighbours and their distance in Å.
Positions (direct):
Sr  0.0000  0.0000  0.0000  6 S 3.02
Ac  0.5000  0.5000  0.5000  6 S 3.05
S  0.2513  0.2513  0.2513  3 Sr 3.02, 3 Ac 3.05
S  0.7487  0.7487  0.7487  3 Sr 3.02, 3 Ac 3.05

Entry B
Material: SrAcS2
Method: DFT, PBE
State: optimized geometry

## Properties
Symmetry = P6_3/mmc
DOS at the Fermi energy = 1.2 states/eV/f.u.

Cell: 4.2418 4.2418 14.4462 Å, 90.00 90.00 120.00°
Last column: nearest neighbours and their distance in Å.
Positions (direct):
Sr  0.3333  0.6667  0.2500  6 S 3.05
Sr  0.6667  0.3333  0.7500  6 S 3.05
Ac  0.0000  0.0000  0.0000  6 S 3.03
Ac  0.0000  0.0000  0.5000  6 S 3.03
S  0.3333  0.6667  0.6241  3 Ac 3.03, 3 Sr 3.05
S  0.3333  0.6667  0.8759  3 Ac 3.03, 3 Sr 3.05
S  0.6667  0.3333  0.1241  3 Ac 3.03, 3 Sr 3.05
S  0.6667  0.3333  0.3759  3 Ac 3.03, 3 Sr 3.05

Entry C
Material: SrAcS2
Method: DFT, PBE
State: optimized geometry

## Properties
Symmetry = R3m
DOS at the Fermi energy = 2.0 states/eV/f.u.

Cell: 7.8495 7.8495 7.8495 Å, 30.97 30.97 30.97°
Last column: nearest neighbours and their distance in Å.
Positions (direct):
Sr  0.0000  0.0000  0.0000  6 S 2.99-3.13
Ac  0.8260  0.8260  0.8260  6 S 3.03-3.08
S  0.2445  0.2445  0.2445  3 Ac 3.08, 3 Sr 3.13
S  0.4114  0.4114  0.4114  3 Sr 2.99, 3 Ac 3.03

Which of them is the most stable? Correct choice: entry A.

Entry A
Material: Ac3TbS4
Method: DFT, PBE
State: optimized geometry

## Properties
Symmetry = Pm-3m
DOS at the Fermi energy = 5.1 states/eV/f.u.

Cell: 5.9838 5.9838 5.9838 Å, 90.00 90.00 90.00°
Last column: nearest neighbours and their distance in Å.
Positions (direct):
Ac  0.0000  0.0000  0.5000  6 S 2.99
Ac  0.0000  0.5000  0.0000  6 S 2.99
Ac  0.5000  0.0000  0.0000  6 S 2.99
Tb  0.5000  0.5000  0.5000  6 S 2.99
S  0.0000  0.0000  0.0000  6 Ac 2.99
S  0.0000  0.5000  0.5000  4 Ac 2.99, 2 Tb 2.99
S  0.5000  0.0000  0.5000  4 Ac 2.99, 2 Tb 2.99
S  0.5000  0.5000  0.0000  4 Ac 2.99, 2 Tb 2.99

Entry B
Material: Ac3TbS4
Method: DFT, PBE
State: optimized geometry

## Properties
Symmetry = P2/c
DOS at the Fermi energy = 3.5 states/eV/f.u.

Cell: 7.3661 8.3702 7.2866 Å, 90.00 109.31 90.00°
Last column: nearest neighbours and their distance in Å.
Positions (direct):
Ac  0.0000  0.1252  0.2500  6 S 3.00-3.11
Ac  0.0000  0.3752  0.7500  6 S 2.98-3.11
Ac  0.0000  0.6248  0.2500  6 S 2.98-3.11
Ac  0.0000  0.8748  0.7500  6 S 3.00-3.11
Ac  0.5000  0.1266  0.7500  6 S 2.97-2.99
Ac  0.5000  0.8734  0.2500  6 S 2.97-2.99
Tb  0.5000  0.3762  0.2500  6 S 2.85-2.87
Tb  0.5000  0.6238  0.7500  6 S 2.85-2.87
S  0.2621  0.1358  0.0116  1 Tb 2.85, 5 Ac 2.98-3.11
S  0.2621  0.8642  0.5116  1 Tb 2.85, 5 Ac 2.98-3.11
S  0.2697  0.3854  0.4999  2 Tb 2.85-2.87, 4 Ac 2.97-3.11
S  0.2697  0.6146  0.9999  2 Tb 2.85-2.87, 4 Ac 2.97-3.11
S  0.7303  0.3854  0.0001  2 Tb 2.85-2.87, 4 Ac 2.97-3.11
S  0.7303  0.6146  0.5001  2 Tb 2.85-2.87, 4 Ac 2.97-3.11
S  0.7379  0.1358  0.4884  1 Tb 2.85, 5 Ac 2.98-3.11
S  0.7379  0.8642  0.9884  1 Tb 2.85, 5 Ac 2.98-3.11

Which of them is the most stable? Correct choice: entry B.

Entry A
Material: AcTbS
Method: DFT, PBE
State: optimized geometry

## Properties
Symmetry = Pmmn
DOS at the Fermi energy = 2.5 states/eV/f.u.

Cell: 3.7392 4.8944 9.4946 Å, 90.00 90.00 90.00°
Last column: nearest neighbours and their distance in Å.
Positions (direct):
Ac  0.2500  0.2500  0.1495  5 S 3.06-3.09
Ac  0.7500  0.7500  0.8505  5 S 3.06-3.09
Tb  0.2500  0.7500  0.4218  2 S 3.01
Tb  0.7500  0.2500  0.5782  2 S 3.01
S  0.2500  0.2500  0.8271  2 Tb 3.01, 5 Ac 3.06-3.09
S  0.7500  0.7500  0.1729  2 Tb 3.01, 5 Ac 3.06-3.09

Entry B
Material: AcTbS
Method: DFT, PBE
State: optimized geometry

## Properties
Symmetry = P3m1
DOS at the Fermi energy = 1.4 states/eV/f.u.

Cell: 3.9968 3.9968 6.8297 Å, 90.00 90.00 120.00°
Last column: nearest neighbours and their distance in Å.
Positions (direct):
Ac  0.0000  0.0000  0.0000  3 S 3.03
Tb  0.6667  0.3333  0.4886  3 S 2.77
S  0.3333  0.6667  0.7117  3 Tb 2.77, 3 Ac 3.03

Which of them is the most stable? Correct choice: entry B.

Entry A
Material: Ac4Te3S2
Method: DFT, PBE
State: optimized geometry

## Properties
Symmetry = C2/m
DOS at the Fermi energy = 3.3 states/eV/f.u.

Cell: 8.1013 8.1013 11.8683 Å, 124.13 124.13 33.41°
Last column: nearest neighbours and their distance in Å.
Positions (direct):
Ac  0.0899  0.0899  0.3920  1 S 2.99, 4 Te 3.33-3.34
Ac  0.2764  0.2764  0.1776  3 S 2.94-2.98
Ac  0.7236  0.7236  0.8224  3 S 2.94-2.98
Ac  0.9101  0.9101  0.6080  1 S 2.99, 4 Te 3.33-3.34
Te  0.3254  0.3254  0.7245  5 Ac 3.34-3.47
Te  0.5000  0.5000  0.5000  6 Ac 3.33-3.34
Te  0.6746  0.6746  0.2755  5 Ac 3.34-3.47
S  0.1304  0.1304  0.8723  4 Ac 2.94-2.99
S  0.8696  0.8696  0.1277  4 Ac 2.94-2.99

Entry B
Material: Ac4Te3S2
Method: DFT, PBE
State: optimized geometry

## Properties
Symmetry = C2/c
DOS at the Fermi energy = 4.7 states/eV/f.u.

Cell: 9.1902 9.1902 8.0897 Å, 93.29 93.29 77.08°
Last column: nearest neighbours and their distance in Å.
Positions (direct):
Ac  0.0673  0.7248  0.9803  2 S 2.90-2.96
Ac  0.2729  0.4378  0.5595  2 S 2.89-2.94
Ac  0.2752  0.9327  0.5197  2 S 2.90-2.96
Ac  0.4378  0.2729  0.0595  2 S 2.89-2.94
Ac  0.5622  0.7271  0.9405  2 S 2.89-2.94
Ac  0.7248  0.0673  0.4803  2 S 2.90-2.96
Ac  0.7271  0.5622  0.4405  2 S 2.89-2.94
Ac  0.9327  0.2752  0.0197  2 S 2.90-2.96
Te  0.0019  0.2470  0.4378  5 Ac 3.37-3.45, 1 S 3.72
Te  0.2470  0.0019  0.9378  5 Ac 3.37-3.45, 1 S 3.72
Te  0.3756  0.6244  0.2500  6 Ac 3.40-3.46
Te  0.6244  0.3756  0.7500  6 Ac 3.40-3.46
Te  0.7530  0.9981  0.0622  5 Ac 3.37-3.45, 1 S 3.72
Te  0.9981  0.7530  0.5622  5 Ac 3.37-3.45, 1 S 3.72
S  0.1589  0.4112  0.8794  4 Ac 2.89-2.96
S  0.4112  0.1589  0.3794  4 Ac 2.89-2.96
S  0.5888  0.8411  0.6206  4 Ac 2.89-2.96
S  0.8411  0.5888  0.1206  4 Ac 2.89-2.96

Which of them is the most stable? Correct choice: entry A.

Entry A
Material: Ac2TeS5
Method: DFT, PBE
State: optimized geometry

## Properties
Symmetry = Pbam
DOS at the Fermi energy = 0.9 states/eV/f.u.

Cell: 8.1391 11.6606 4.2269 Å, 90.00 90.00 90.00°
Last column: nearest neighbours and their distance in Å.
Positions (direct):
Ac  0.0793  0.1689  0.0000  7 S 2.96-3.22
Ac  0.4207  0.6689  0.0000  7 S 2.96-3.22
Ac  0.5793  0.3311  0.0000  7 S 2.96-3.22
Ac  0.9207  0.8311  0.0000  7 S 2.96-3.22
Te  0.0000  0.5000  0.5000  6 S 2.67-2.73
Te  0.5000  0.0000  0.5000  6 S 2.67-2.73
S  0.0000  0.0000  0.5000  4 Ac 2.96
S  0.1410  0.7064  0.5000  1 Te 2.67
S  0.1898  0.4338  0.0000  2 Te 2.73
S  0.3102  0.9338  0.0000  2 Te 2.73
S  0.3590  0.2064  0.5000  1 Te 2.67
S  0.5000  0.5000  0.5000  4 Ac 2.96
S  0.6410  0.7936  0.5000  1 Te 2.67
S  0.6898  0.0662  0.0000  2 Te 2.73
S  0.8102  0.5662  0.0000  2 Te 2.73
S  0.8590  0.2936  0.5000  1 Te 2.67

Entry B
Material: Ac2TeS5
Method: DFT, PBE
State: optimized geometry

## Properties
Symmetry = I4mm
DOS at the Fermi energy = 0.0 states/eV/f.u.

Cell: 6.4975 6.4975 6.4975 Å, 115.02 115.02 98.87°
Last column: nearest neighbours and their distance in Å.
Positions (direct):
Ac  0.0000  0.5000  0.5000  10 S 3.19-3.49
Ac  0.5000  0.0000  0.5000  10 S 3.19-3.49
Te  0.2607  0.2607  0.0000  5 S 2.33-2.58
S  0.4995  0.4995  0.5208  1 Te 2.58
S  0.4995  0.9788  0.0000  1 Te 2.58
S  0.9788  0.4995  0.0000  1 Te 2.58
S  0.9788  0.9788  0.4792  1 Te 2.58
S  0.9853  0.9853  0.0000  1 Te 2.33

Which of them is the most stable? Correct choice: entry A.

Entry A
Material: Ac2TeS2
Method: DFT, PBE
State: optimized geometry

## Properties
Symmetry = C2/c
DOS at the Fermi energy = 0.0 states/eV/f.u.

Cell: 7.6830 7.6830 7.9030 Å, 114.88 114.88 97.45°
Last column: nearest neighbours and their distance in Å.
Positions (direct):
Ac  0.0862  0.9138  0.7500  4 S 2.90-2.97
Ac  0.3359  0.6641  0.2500  4 S 2.90-2.97
Ac  0.6641  0.3359  0.7500  4 S 2.90-2.97
Ac  0.9138  0.0862  0.2500  4 S 2.90-2.97
Te  0.3749  0.6251  0.7500  2 Ac 3.33-3.34
Te  0.6251  0.3749  0.2500  2 Ac 3.33-3.34
S  0.0156  0.2650  0.0292  4 Ac 2.90-2.97
S  0.2650  0.0156  0.5292  4 Ac 2.90-2.97
S  0.7350  0.9844  0.4708  4 Ac 2.90-2.97
S  0.9844  0.7350  0.9708  4 Ac 2.90-2.97

Entry B
Material: Ac2TeS2
Method: DFT, PBE
State: optimized geometry

## Properties
Symmetry = P2_1/m
DOS at the Fermi energy = 0.4 states/eV/f.u.

Cell: 5.5855 5.3268 11.0956 Å, 90.00 100.28 90.00°
Last column: nearest neighbours and their distance in Å.
Positions (direct):
Ac  0.1972  0.2500  0.3877  5 S 2.98-3.05
Ac  0.2517  0.7500  0.0077  4 S 2.96-3.16
Ac  0.7483  0.2500  0.9923  4 S 2.96-3.16
Ac  0.8028  0.7500  0.6123  5 S 2.98-3.05
Te  0.1707  0.2500  0.7949  6 Ac 3.49-3.73, 2 S 3.61-3.84
Te  0.8293  0.7500  0.2051  6 Ac 3.49-3.73, 2 S 3.61-3.84
S  0.2699  0.7500  0.5133  4 Ac 2.98-3.01
S  0.2942  0.2500  0.1259  5 Ac 2.96-3.16
S  0.7058  0.7500  0.8741  5 Ac 2.96-3.16
S  0.7301  0.2500  0.4867  4 Ac 2.98-3.01

Which of them is the most stable? Correct choice: entry A.

Entry A
Material: Ac4Te3S
Method: DFT, PBE
State: optimized geometry

## Properties
Symmetry = R-3m
DOS at the Fermi energy = 3.6 states/eV/f.u.

Cell: 15.8698 15.8698 15.8698 Å, 16.48 16.48 16.48°
Last column: nearest neighbours and their distance in Å.
Positions (direct):
Ac  0.1238  0.1238  0.1238  6 Te 3.31-3.37
Ac  0.3672  0.3672  0.3672  3 S 3.07, 3 Te 3.37
Ac  0.6328  0.6328  0.6328  3 S 3.07, 3 Te 3.37
Ac  0.8762  0.8762  0.8762  6 Te 3.31-3.37
Te  0.2544  0.2544  0.2544  6 Ac 3.37
Te  0.5000  0.5000  0.5000  6 Ac 3.31
Te  0.7456  0.7456  0.7456  6 Ac 3.37
S  0.0000  0.0000  0.0000  6 Ac 3.07

Entry B
Material: Ac4Te3S
Method: DFT, PBE
State: optimized geometry

## Properties
Symmetry = Cmmm
DOS at the Fermi energy = 3.2 states/eV/f.u.

Cell: 8.0656 8.0656 4.5865 Å, 90.00 90.00 108.99°
Last column: nearest neighbours and their distance in Å.
Positions (direct):
Ac  0.2219  0.2219  0.5000  2 S 3.09, 2 Te 3.29
Ac  0.2330  0.7670  0.0000  1 S 3.06, 4 Te 3.29
Ac  0.7670  0.2330  0.0000  1 S 3.06, 4 Te 3.29
Ac  0.7781  0.7781  0.5000  2 S 3.09, 2 Te 3.29
Te  0.0000  0.5000  0.5000  6 Ac 3.29
Te  0.5000  0.0000  0.5000  6 Ac 3.29
Te  0.5000  0.5000  0.0000  6 Ac 3.47-3.51
S  0.0000  0.0000  0.0000  6 Ac 3.06-3.09

Which of them is the most stable? Correct choice: entry A.